Here is a geometry-optimized Ir2Os3 structure from Alexandria. Energies are from PBE.

abc: 3.6419 3.6419 22.6731
angles: 90.00 90.00 120.00
Space group R-3m (No. 166, hexagonal axes)
Symmetry-distinct sites (fractional):
Ir: 0.0000 0.0000 0.1061 (multiplicity 6)
Os: 0.0000 0.0000 0.3082 (multiplicity 6)
Os: 0.0000 0.0000 0.5000 (multiplicity 3)

Summary:
ΔE_f   6.13 eV per formula unit
E   -9.06 eV/atom


Here is a geometry-optimized SmZn10Co2 structure from Alexandria. Energies are from PBE.

abc: 4.955 12.607 12.705
angles: 90.00 90.00 90.00
Space group Fmmm (No. 69)
Symmetry-distinct sites (fractional):
Sm: 0.000 0.000 0.000 (multiplicity 4)
Zn: 0.000 0.114 0.393 (multiplicity 16)
Zn: 0.000 0.182 0.167 (multiplicity 16)
Zn: 0.250 0.000 0.250 (multiplicity 8)
Co: 0.250 0.250 0.000 (multiplicity 8)

Summary:
ΔE_f   -2.17 eV per formula unit
E   -2.60 eV/atom


Here is a geometry-optimized LiZn2Se structure from Alexandria. Energies are from PBE.

abc: 3.444 3.839 10.860
angles: 90.00 90.00 90.00
Space group Immm (No. 71)
Symmetry-distinct sites (fractional):
Li: 0.000 0.000 0.000 (multiplicity 2)
Zn: 0.000 0.500 0.201 (multiplicity 4)
Se: 0.000 0.000 0.500 (multiplicity 2)

Summary:
Uncorrected formation energy   -1.3 eV/f.u.
E   -2.31 eV/atom


Here is a geometry-optimized Rb4Ce3CuS8 structure from Alexandria. Energies are from PBE.

abc: 14.486 8.158 8.995
angles: 90.00 122.01 90.00
Space group C2/m (No. 12)
Symmetry-distinct sites (fractional):
Rb: 0.000 0.000 0.000 (multiplicity 2)
Rb: 0.000 0.500 0.000 (multiplicity 2)
Rb: 0.250 0.250 0.000 (multiplicity 4)
Ce: 0.000 0.000 0.500 (multiplicity 2)
Ce: 0.250 0.250 0.500 (multiplicity 4)
Cu: 0.000 0.500 0.500 (multiplicity 2)
S: 0.023 0.257 0.318 (multiplicity 8)
S: 0.231 0.000 0.697 (multiplicity 4)
S: 0.243 0.500 0.699 (multiplicity 4)

Summary:
Uncorrected formation energy   -23.2 eV/f.u.
E   -5.12 eV/atom